1.
# Al2OsPb GGA-PBE optimized geometry
# crystal system: cubic
# ΔH_f (0 K): 0.54 eV/atom
# calculated volume: 17.9 A^3/atom
data_Al2OsPb
_symmetry_space_group_name_H-M 'F -4 3 m'
_symmetry_Int_Tables_number 216
_symmetry_space_group_name_Hall 'F -4 2 3'
_cell_length_a 6.592
_cell_length_b 6.592
_cell_length_c 6.592
_cell_angle_alpha 90.00
_cell_angle_beta 90.00
_cell_angle_gamma 90.00
loop_
_atom_site_label
_atom_site_type_symbol
_atom_site_fract_x
_atom_site_fract_y
_atom_site_fract_z
_atom_site_occupancy
Al1 Al 0.000 0.000 0.000 1
Al2 Al 0.250 0.250 0.250 1
Os1 Os 0.000 0.000 0.500 1
Pb1 Pb 0.250 0.250 0.750 1



2.
# YTm2In GGA-PBE optimized geometry
# crystal system: trigonal
# ΔH_f (0 K): -0.15 eV/atom
# ΔE to the lowest computed polymorph: 11.1 kJ per mole of atoms
# calculated volume: 29.5 A^3/atom
data_YTm2In
_symmetry_space_group_name_H-M 'R 3 m'
_symmetry_Int_Tables_number 160
_symmetry_space_group_name_Hall 'R 3 -2"'
_cell_length_a 3.5456
_cell_length_b 3.5456
_cell_length_c 32.5383
_cell_angle_alpha 90.00
_cell_angle_beta 90.00
_cell_angle_gamma 120.00
loop_
_atom_site_label
_atom_site_type_symbol
_atom_site_fract_x
_atom_site_fract_y
_atom_site_fract_z
_atom_site_occupancy
Y1 Y 0.0000 0.0000 0.0000 1
Tm1 Tm 0.0000 0.0000 0.2451 1
Tm2 Tm 0.0000 0.0000 0.4215 1
In1 In 0.0000 0.0000 0.8335 1



3.
# Pr3CoSn GGA-PBE optimized geometry
# crystal system: cubic
# ΔH_f (0 K): -0.28 eV/atom
# ΔE to the lowest computed polymorph: 2.8 kJ per mole of atoms
# calculated volume: 29.6 A^3/atom
data_Pr3CoSn
_symmetry_space_group_name_H-M 'P m -3 m'
_symmetry_Int_Tables_number 221
_symmetry_space_group_name_Hall '-P 4 2 3'
_cell_length_a 5.290
_cell_length_b 5.290
_cell_length_c 5.290
_cell_angle_alpha 90.00
_cell_angle_beta 90.00
_cell_angle_gamma 90.00
loop_
_atom_site_label
_atom_site_type_symbol
_atom_site_fract_x
_atom_site_fract_y
_atom_site_fract_z
_atom_site_occupancy
Pr1 Pr 0.000 0.000 0.500 1
Co1 Co 0.000 0.000 0.000 1
Sn1 Sn 0.500 0.500 0.500 1



4.
# CrCo15Ni4 GGA-PBE optimized geometry
# crystal system: tetragonal
# ΔH_f (0 K): 0.07 eV/atom
# calculated volume: 10.9 A^3/atom
data_CrCo15Ni4
_symmetry_space_group_name_H-M 'P 4/m m m'
_symmetry_Int_Tables_number 123
_symmetry_space_group_name_Hall '-P 4 2'
_cell_length_a 3.520
_cell_length_b 3.520
_cell_length_c 17.548
_cell_angle_alpha 90.00
_cell_angle_beta 90.00
_cell_angle_gamma 90.00
loop_
_atom_site_label
_atom_site_type_symbol
_atom_site_fract_x
_atom_site_fract_y
_atom_site_fract_z
_atom_site_occupancy
Cr1 Cr 0.000 0.000 0.000 1
Co1 Co 0.000 0.500 0.100 1
Co2 Co 0.000 0.500 0.300 1
Co3 Co 0.000 0.500 0.500 1
Co4 Co 0.500 0.500 0.000 1
Co5 Co 0.500 0.500 0.201 1
Co6 Co 0.500 0.500 0.402 1
Ni1 Ni 0.000 0.000 0.201 1
Ni2 Ni 0.000 0.000 0.401 1



5.
# Ba2CaGeH GGA-PBE optimized geometry
# crystal system: tetragonal
# ΔE to the lowest computed polymorph: 87.2 kJ per mole of atoms
# calculated volume: 48.6 A^3/atom
data_Ba2CaGeH
_symmetry_space_group_name_H-M 'P 4/m m m'
_symmetry_Int_Tables_number 123
_symmetry_space_group_name_Hall '-P 4 2'
_cell_length_a 6.811
_cell_length_b 6.811
_cell_length_c 5.235
_cell_angle_alpha 90.00
_cell_angle_beta 90.00
_cell_angle_gamma 90.00
loop_
_atom_site_label
_atom_site_type_symbol
_atom_site_fract_x
_atom_site_fract_y
_atom_site_fract_z
_atom_site_occupancy
Ba1 Ba 0.000 0.500 0.000 1
Ca1 Ca 0.000 0.000 0.000 1
Ge1 Ge 0.000 0.000 0.500 1
H1 H 0.500 0.500 0.500 1



6.
# NdPd2Pb GGA-PBE optimized geometry
# crystal system: tetragonal
# ΔH_f (0 K): -0.52 eV/atom
# calculated volume: 22.5 A^3/atom
data_NdPd2Pb
_symmetry_space_group_name_H-M 'P 4/m m m'
_symmetry_Int_Tables_number 123
_symmetry_space_group_name_Hall '-P 4 2'
_cell_length_a 3.644
_cell_length_b 3.644
_cell_length_c 6.775
_cell_angle_alpha 90.00
_cell_angle_beta 90.00
_cell_angle_gamma 90.00
loop_
_atom_site_label
_atom_site_type_symbol
_atom_site_fract_x
_atom_site_fract_y
_atom_site_fract_z
_atom_site_occupancy
Nd1 Nd 0.000 0.000 0.000 1
Pd1 Pd 0.500 0.500 0.245 1
Pb1 Pb 0.000 0.000 0.500 1



7.
# BiSbS GGA-PBE optimized geometry
# E_form (uncorrected): 0.114 eV/f.u.
# crystal system: orthorhombic
# ΔE to the lowest computed polymorph: 0.0 kJ per mole of atoms
# calculated volume: 29.0 A^3/atom
data_BiSbS
_symmetry_space_group_name_H-M 'A m m 2'
_symmetry_Int_Tables_number 38
_cell_length_a 11.641
_cell_length_b 4.095
_cell_length_c 7.301
_cell_angle_alpha 90.00
_cell_angle_beta 90.00
_cell_angle_gamma 90.00
loop_
_symmetry_equiv_pos_as_xyz
'x,y,z'
'-x,-y,z'
'-x,y,z'
'x,-y,z'
'x,y+1/2,z+1/2'
'-x,-y+1/2,z+1/2'
'-x,y+1/2,z+1/2'
'x,-y+1/2,z+1/2'
loop_
_atom_site_label
_atom_site_type_symbol
_atom_site_fract_x
_atom_site_fract_y
_atom_site_fract_z
_atom_site_occupancy
Bi1 Bi 0.175 0.000 0.000 1
Sb1 Sb 0.000 0.000 0.317 1
Sb2 Sb 0.500 0.000 0.410 1
S1 S 0.332 0.000 0.632 1



8.
# Al2CdFe GGA-PBE optimized geometry
# crystal system: orthorhombic
# ΔH_f (0 K): 0.15 eV/atom
# calculated volume: 15.8 A^3/atom
data_Al2CdFe
_symmetry_space_group_name_H-M 'C m m m'
_symmetry_Int_Tables_number 65
_symmetry_space_group_name_Hall '-C 2 2'
_cell_length_a 5.584
_cell_length_b 7.857
_cell_length_c 2.886
_cell_angle_alpha 90.00
_cell_angle_beta 90.00
_cell_angle_gamma 90.00
loop_
_atom_site_label
_atom_site_type_symbol
_atom_site_fract_x
_atom_site_fract_y
_atom_site_fract_z
_atom_site_occupancy
Al1 Al 0.250 0.250 0.000 1
Cd1 Cd 0.000 0.000 0.500 1
Fe1 Fe 0.000 0.500 0.500 1



9.
# SrSI2O GGA-PBE optimized geometry
# E_form (uncorrected): -2.460 eV/f.u.
# crystal system: tetragonal
# ΔE to the lowest computed polymorph: 0.0 kJ per mole of atoms
# calculated volume: 27.0 A^3/atom
data_SrSI2O
_symmetry_space_group_name_H-M 'P 4/m m m'
_symmetry_Int_Tables_number 123
_symmetry_space_group_name_Hall '-P 4 2'
_cell_length_a 5.956
_cell_length_b 5.956
_cell_length_c 3.812
_cell_angle_alpha 90.00
_cell_angle_beta 90.00
_cell_angle_gamma 90.00
loop_
_atom_site_label
_atom_site_type_symbol
_atom_site_fract_x
_atom_site_fract_y
_atom_site_fract_z
_atom_site_occupancy
Sr1 Sr 0.000 0.000 0.000 1
S1 S 0.500 0.500 0.500 1
I1 I 0.000 0.500 0.500 1
O1 O 0.500 0.500 0.000 1



10.
# Pm3Sm6Tl GGA-PBE optimized geometry
# crystal system: monoclinic
# ΔH_f (0 K): 0.01 eV/atom
# ΔE to the lowest computed polymorph: 0.0 kJ per mole of atoms
# calculated volume: 33.6 A^3/atom
data_Pm3Sm6Tl
_symmetry_space_group_name_H-M 'P 1 21/m 1'
_symmetry_Int_Tables_number 11
_cell_length_a 12.402
_cell_length_b 3.633
_cell_length_c 14.939
_cell_angle_alpha 90.00
_cell_angle_beta 93.94
_cell_angle_gamma 90.00
loop_
_symmetry_equiv_pos_as_xyz
'x,y,z'
'-x,-y,-z'
'-x,y+1/2,-z'
'x,-y+1/2,z'
loop_
_atom_site_label
_atom_site_type_symbol
_atom_site_fract_x
_atom_site_fract_y
_atom_site_fract_z
_atom_site_occupancy
Pm1 Pm 0.054 0.250 0.305 1
Pm2 Pm 0.102 0.250 0.084 1
Pm3 Pm 0.426 0.250 0.819 1
Sm1 Sm 0.114 0.750 0.504 1
Sm2 Sm 0.190 0.750 0.892 1
Sm3 Sm 0.205 0.250 0.687 1
Sm4 Sm 0.307 0.750 0.253 1
Sm5 Sm 0.380 0.250 0.045 1
Sm6 Sm 0.436 0.750 0.608 1
Tl1 Tl 0.313 0.250 0.442 1



11.
# Nd2Sm3Hg7 GGA-PBE optimized geometry
# crystal system: orthorhombic
# ΔH_f (0 K): -0.32 eV/atom
# calculated volume: 28.6 A^3/atom
data_Nd2Sm3Hg7
_symmetry_space_group_name_H-M 'C m m m'
_symmetry_Int_Tables_number 65
_symmetry_space_group_name_Hall '-C 2 2'
_cell_length_a 5.258
_cell_length_b 23.650
_cell_length_c 5.514
_cell_angle_alpha 90.00
_cell_angle_beta 90.00
_cell_angle_gamma 90.00
loop_
_atom_site_label
_atom_site_type_symbol
_atom_site_fract_x
_atom_site_fract_y
_atom_site_fract_z
_atom_site_occupancy
Nd1 Nd 0.000 0.143 0.000 1
Sm1 Sm 0.000 0.333 0.500 1
Sm2 Sm 0.000 0.500 0.500 1
Hg1 Hg 0.000 0.000 0.000 1
Hg2 Hg 0.000 0.081 0.500 1
Hg3 Hg 0.000 0.277 0.000 1
Hg4 Hg 0.000 0.427 0.000 1



12.
# Ho2ScSn3 GGA-PBE optimized geometry
# crystal system: orthorhombic
# ΔH_f (0 K): -0.51 eV/atom
# calculated volume: 27.4 A^3/atom
data_Ho2ScSn3
_symmetry_space_group_name_H-M 'I m m m'
_symmetry_Int_Tables_number 71
_symmetry_space_group_name_Hall '-I 2 2'
_cell_length_a 3.524
_cell_length_b 6.127
_cell_length_c 15.208
_cell_angle_alpha 90.00
_cell_angle_beta 90.00
_cell_angle_gamma 90.00
loop_
_atom_site_label
_atom_site_type_symbol
_atom_site_fract_x
_atom_site_fract_y
_atom_site_fract_z
_atom_site_occupancy
Ho1 Ho 0.000 0.000 0.169 1
Sc1 Sc 0.000 0.000 0.500 1
Sn1 Sn 0.000 0.500 0.160 1
Sn2 Sn 0.000 0.500 0.500 1



> The lowest calculated volume belongs to which entry?

CrCo15Ni4